An optimized crystal structure of BeGa2MoO6, computed with GGA+U.

```
BeGa2MoO6
1.0
-2.732 1.051 -4.375
0.187 -5.834 -3.643
-6.601 -0.432 1.893
O Ga Be Mo
12 4 2 2
Direct
0.557 0.142 0.672 O
0.171 0.950 0.810 O
0.503 0.452 0.306 O
0.329 0.190 0.050 O
0.443 0.858 0.328 O
0.057 0.672 0.142 O
0.497 0.548 0.694 O
0.003 0.306 0.452 O
0.997 0.694 0.548 O
0.671 0.810 0.950 O
0.829 0.050 0.190 O
0.943 0.328 0.858 O
0.661 0.278 0.456 Ga
0.161 0.456 0.278 Ga
0.839 0.544 0.722 Ga
0.339 0.722 0.544 Ga
0.750 0.824 0.176 Be
0.250 0.176 0.824 Be
0.750 0.101 0.899 Mo
0.250 0.899 0.101 Mo
```

Summary:
Theoretical density ... 4953 kg/m³
VASP energy ... -6.467 eV/atom